1.
First-principles (GGA-PBEsol) data for a relaxed Dy5Mg5Al12Fe4Si6 crystal, as listed in Alexandria via LeMat-Bulk.

ρ   5.01 g/cm3
Formation energy (no corrections)   -0.402 eV per atom

```
Dy5Mg5Al12Fe4Si6
1.0
11.770 0.000 0.000
0.000 11.770 0.000
0.000 0.000 3.947
Dy Mg Al Fe Si
5 5 12 4 6
direct
0.000 0.000 0.000
0.253 0.500 0.000
0.500 0.253 0.000
0.500 0.747 0.000
0.747 0.500 0.000
0.201 0.201 0.000
0.201 0.799 0.000
0.500 0.500 0.500
0.799 0.201 0.000
0.799 0.799 0.000
0.113 0.373 0.500
0.113 0.627 0.500
0.332 0.332 0.500
0.332 0.668 0.500
0.373 0.113 0.500
0.373 0.887 0.500
0.627 0.113 0.500
0.627 0.887 0.500
0.668 0.332 0.500
0.668 0.668 0.500
0.887 0.373 0.500
0.887 0.627 0.500
0.000 0.305 0.000
0.000 0.695 0.000
0.305 0.000 0.000
0.695 0.000 0.000
0.000 0.188 0.500
0.000 0.500 0.000
0.000 0.812 0.500
0.188 0.000 0.500
0.500 0.000 0.000
0.812 0.000 0.500
```

2.
First-principles (GGA-PBEsol) data for a relaxed Dy3AlFeS7 crystal, as listed in Alexandria via LeMat-Bulk.

ρ   5.78 g/cm3
Formation energy (no corrections)   -1.621 eV per atom

```
Dy3AlFeS7
1.0
9.286 0.000 0.000
-4.643 8.042 0.000
0.000 0.000 6.120
Dy Al Fe S
6 2 2 14
direct
0.166 0.375 0.000
0.208 0.834 0.000
0.375 0.208 0.500
0.625 0.792 0.000
0.792 0.166 0.500
0.834 0.625 0.500
0.333 0.667 0.427
0.667 0.333 0.927
0.000 0.000 0.349
0.000 0.000 0.849
0.081 0.556 0.277
0.098 0.218 0.602
0.119 0.902 0.602
0.218 0.119 0.102
0.333 0.667 0.789
0.444 0.525 0.277
0.475 0.919 0.277
0.525 0.081 0.777
0.556 0.475 0.777
0.667 0.333 0.289
0.782 0.881 0.602
0.881 0.098 0.102
0.902 0.782 0.102
0.919 0.444 0.777
```

Q: ρ of number 2 (Dy3AlFeS7)?
A: 5.78 g/cm3

Repeat the second record exactly.
First-principles (GGA-PBEsol) data for a relaxed Dy3AlFeS7 crystal, as listed in Alexandria via LeMat-Bulk.

ρ   5.78 g/cm3
Formation energy (no corrections)   -1.621 eV per atom

```
Dy3AlFeS7
1.0
9.286 0.000 0.000
-4.643 8.042 0.000
0.000 0.000 6.120
Dy Al Fe S
6 2 2 14
direct
0.166 0.375 0.000
0.208 0.834 0.000
0.375 0.208 0.500
0.625 0.792 0.000
0.792 0.166 0.500
0.834 0.625 0.500
0.333 0.667 0.427
0.667 0.333 0.927
0.000 0.000 0.349
0.000 0.000 0.849
0.081 0.556 0.277
0.098 0.218 0.602
0.119 0.902 0.602
0.218 0.119 0.102
0.333 0.667 0.789
0.444 0.525 0.277
0.475 0.919 0.277
0.525 0.081 0.777
0.556 0.475 0.777
0.667 0.333 0.289
0.782 0.881 0.602
0.881 0.098 0.102
0.902 0.782 0.102
0.919 0.444 0.777
```

Q: Which formula does entry 2 have?
A: Dy3AlFeS7